DyHo3Lu2Bi2Os: optimized geometry, GGA-PBE.

abc: 4.2241 8.2097 8.2097
angles: 120.06 90.00 90.00
Atoms (fractional coordinates):
Dy 0.0000 0.0000 0.0000
Ho 0.5000 0.2336 0.8470
Ho 0.5000 0.6167 0.6167
Ho 0.5000 0.8470 0.2336
Lu 0.0000 0.2328 0.4642
Lu 0.0000 0.4642 0.2328
Bi 0.0000 0.5639 0.8993
Bi 0.0000 0.8993 0.5639
Os 0.5000 0.2378 0.2378

Output
Crystal system   orthorhombic
Magnetization   0.006 μB per atom

SrCd2GaAu: optimized geometry, GGA-PBE.

abc: 4.4894 4.4894 12.1612
angles: 90.00 90.00 90.00
Atoms (fractional coordinates):
Sr 0.0000 0.0000 0.0000
Sr 0.5000 0.5000 0.5000
Cd 0.0000 0.5000 0.2496
Cd 0.0000 0.5000 0.7496
Cd 0.5000 0.0000 0.2496
Cd 0.5000 0.0000 0.7496
Ga 0.0000 0.0000 0.6106
Ga 0.5000 0.5000 0.1106
Au 0.0000 0.0000 0.4013
Au 0.5000 0.5000 0.9013

Output
Crystal system   tetragonal

Theoretical density in g/cm³, matching the order above: 10.89; 7.85
Raw total energy in eV/atom, matching the order above: -5.7559; -2.3944